(1)
An optimized crystal structure of Ac3HgRu. Source: the Alexandria database, functional GGA-PBE.

```
10
Lattice="5.924 0.000 0.000 2.956 6.600 0.000 0.008 3.703 8.822" Properties=species:S:1:pos:R:3 pbc="T T T"
Ac 1.480 2.734 1.978
Ac 1.487 3.586 5.721
Ac 4.441 5.280 0.794
Ac 4.446 5.023 8.028
Ac 7.401 6.717 3.101
Ac 7.407 7.569 6.844
Hg 4.437 6.767 4.822
Hg 4.450 3.536 4.000
Ru 1.484 5.040 8.180
Ru 7.404 5.263 0.642
```

ΔE_f = -0.27 eV per atom
Excess energy over the best structure of this formula in the dataset = 1.16 kcal/mol of atoms

(2)
An optimized crystal structure of CsSrS14. Source: the Alexandria database, functional GGA-PBE.

```
32
Lattice="9.045 -5.151 0.000 9.045 5.151 0.000 -4.100 0.000 10.940" Properties=species:S:1:pos:R:3 pbc="T T T"
Cs 6.995 4.172 5.470
Cs 9.045 -4.172 0.000
Sr 12.138 1.936 2.806
Sr 10.088 -1.936 8.276
S 2.800 1.842 5.641
S 3.712 3.129 9.529
S 1.750 0.391 4.804
S 4.384 1.287 2.764
S 0.825 0.004 8.242
S 2.875 -0.004 2.772
S -0.300 -0.391 10.274
S 9.469 3.323 2.821
S 4.456 1.224 9.441
S 2.334 -1.287 8.234
S 8.053 0.119 0.149
S 9.108 1.340 3.236
S 4.850 -1.842 0.171
S 6.003 -0.119 5.618
S 10.446 2.154 7.345
S 9.597 0.165 1.599
S 6.506 -1.224 3.971
S 8.931 1.419 10.461
S 7.547 -0.165 7.069
S 7.058 -1.340 8.706
S 5.761 -3.129 4.059
S 11.676 0.652 7.827
S 10.449 0.108 10.620
S 12.499 -0.108 5.150
S 10.981 -1.419 4.991
S 13.726 -0.652 2.357
S 7.419 -3.323 8.291
S 12.496 -2.154 1.875
```

Raw total energy = -4.07 eV/atom